Record 1
This record from Alexandria describes an optimized crystal structure of YTe2OsF. The functional is PBE.

a = 5.298 Å, b = 5.298 Å, c = 4.133 Å
α = 90.00°, β = 90.00°, γ = 90.00°
Positions (direct):
1 Y 0.000 0.000 0.000
2 Te 0.000 0.500 0.500
3 Te 0.500 0.000 0.500
4 Os 0.500 0.500 0.000
5 F 0.000 0.000 0.500

## Properties
Total energy, eV per atom: -5.21
Symmetry: No. 123

---

Record 2
This record from Alexandria describes an optimized crystal structure of ZrTeOsF2. The functional is PBE.

a = 4.175 Å, b = 4.175 Å, c = 5.443 Å
α = 90.00°, β = 90.00°, γ = 90.00°
Positions (direct):
1 Zr 0.000 0.000 0.000
2 Te 0.500 0.500 0.000
3 Os 0.500 0.500 0.500
4 F 0.000 0.500 0.500
5 F 0.500 0.000 0.500

## Properties
Total energy, eV per atom: -5.60
Symmetry: No. 123

---

Record 3
This record from Alexandria describes an optimized crystal structure of ThOsF. The functional is PBE.

a = 4.052 Å, b = 4.462 Å, c = 7.802 Å
α = 79.49°, β = 74.96°, γ = 67.21°
Positions (direct):
1 Th 0.106 0.042 0.253
2 Th 0.894 0.958 0.747
3 Os 0.319 0.326 0.507
4 Os 0.681 0.674 0.493
5 F 0.345 0.833 0.948
6 F 0.655 0.167 0.052

## Properties
Total energy, eV per atom: -8.57
Symmetry: No. 2

---

Record 4
This record from Alexandria describes an optimized crystal structure of TiOs2F2. The functional is PBE.

a = 7.137 Å, b = 7.137 Å, c = 2.765 Å
α = 90.00°, β = 90.00°, γ = 90.00°
Positions (direct):
1 Ti 0.000 0.000 0.000
2 Ti 0.500 0.500 0.000
3 Os 0.111 0.389 0.500
4 Os 0.389 0.889 0.500
5 Os 0.611 0.111 0.500
6 Os 0.889 0.611 0.500
7 F 0.220 0.720 0.000
8 F 0.280 0.220 0.000
9 F 0.720 0.780 0.000
10 F 0.780 0.280 0.000

## Properties
Total energy, eV per atom: -6.73
Symmetry: No. 127